Compound: Sr2La2Cr3MoO12
Source: the Alexandria database
Functional: meta-GGA SCAN
Structure: single point on PBEsol structure

- E_tot: -17.8066 eV per atom
- Total magnetization: 16.00 μB per cell
- Formation energy (no corrections): -3.03 eV/atom

Lattice parameters (Å, degrees): 9.470 5.455 9.448 90.00 108.65 90.00
Space group C2/m (No. 12)
Symmetry-distinct sites (fractional):
Sr (0.124, 0.000, 0.367)
La (0.121, 0.500, 0.881)
Cr (0.000, 0.000, 0.000)
Cr (0.248, 0.000, 0.749)
Mo (0.000, 0.500, 0.500)
O (0.106, 0.258, 0.136)
O (0.114, 0.252, 0.641)
O (0.148, 0.500, 0.399)
O (0.159, 0.000, 0.908)